Sc2Pd7Au: relaxed, PBE.

a = 8.729 Å, b = 8.729 Å, c = 2.928 Å
α = 90.00°, β = 90.00°, γ = 122.73°
Atoms (fractional coordinates):
Sc (0.177, 0.823, 0.000)
Sc (0.823, 0.177, 0.000)
Pd (0.000, 0.000, 0.000)
Pd (0.171, 0.368, 0.000)
Pd (0.315, 0.685, 0.500)
Pd (0.368, 0.171, 0.000)
Pd (0.632, 0.829, 0.000)
Pd (0.685, 0.315, 0.500)
Pd (0.829, 0.632, 0.000)
Au (0.500, 0.500, 0.500)

Summary:
For the total magnetic moment, the calculation gives 0.00 μB per cell. For the electronic total energy, the calculation gives -53.63 eV for the cell shown. The calculation puts the density of states at the Fermi level at 6.1 states/eV/f.u. The space group is Cmmm (65). The theoretical density comes out at 9.13 g/cm³. The formation energy from the elements comes out at -0.134 eV/atom.

---

PuTa5Os6: relaxed, PBE.

a = 7.824 Å, b = 7.824 Å, c = 4.605 Å
α = 100.64°, β = 100.64°, γ = 46.60°
Atoms (fractional coordinates):
Pu (0.000, 0.000, 0.000)
Ta (0.168, 0.168, 0.687)
Ta (0.338, 0.338, 0.309)
Ta (0.500, 0.500, 0.000)
Ta (0.662, 0.662, 0.691)
Ta (0.832, 0.832, 0.313)
Os (0.076, 0.571, 0.798)
Os (0.252, 0.748, 0.500)
Os (0.429, 0.924, 0.202)
Os (0.571, 0.076, 0.798)
Os (0.748, 0.252, 0.500)
Os (0.924, 0.429, 0.202)

Summary:
For the total magnetic moment, the calculation gives 4.34 μB per cell. For the electronic total energy, the calculation gives -143.02 eV for the cell shown. The calculation puts the density of states at the Fermi level at 12.6 states/eV/f.u. The space group is C2/m (12). The theoretical density comes out at 18.96 g/cm³. The formation energy from the elements comes out at -0.170 eV/atom.

---

ScAsI2O: relaxed, PBE.

a = 5.893 Å, b = 5.893 Å, c = 3.848 Å
α = 90.00°, β = 90.00°, γ = 90.00°
Atoms (fractional coordinates):
Sc (0.000, 0.000, 0.000)
As (0.500, 0.500, 0.500)
I (0.000, 0.500, 0.000)
I (0.500, 0.000, 0.000)
O (0.000, 0.000, 0.500)

Summary:
For the total magnetic moment, the calculation gives 0.00 μB per cell. The uncorrected formation energy is -0.8076 eV/atom. For the electronic total energy, the calculation gives -23.08 eV for the cell shown. The calculation puts the density of states at the Fermi level at 3.1 states/eV/f.u. Its relative energy among the computed polymorphs is 0.000 eV/atom. The space group is P4/mmm (123). The theoretical density comes out at 4.84 g/cm³.

---

- Which of these has the highest theoretical density?
  PuTa5Os6